A geometry-optimized Na2CaP structure. Source: the Alexandria database, functional PBE.

POSCAR file:
```
Na2CaP
1.0
4.4749 -0.0011 0.0000
-2.2386 4.8623 0.0000
0.0000 0.0000 9.6705
Na P Ca
4 2 2
Direct
0.3389 0.6777 0.5600
0.6611 0.3223 0.4400
0.6611 0.3223 0.0600
0.3389 0.6777 0.9400
0.2640 0.5280 0.2500
0.7360 0.4720 0.7500
0.9562 0.9121 0.2500
0.0438 0.0879 0.7500
```

Values from the calculation:
Space group: Cmcm
D(E_F) (states/eV/atom): 0.386
Raw total energy (eV/atom): -2.926
Energy of formation from the pure elements (meV per atom): -414